1.
# CdIn2Se, optimized geometry, DFT PBEsol
data_CdIn2Se
_chemical_formula_sum 'Cd1 In2 Se1'
_cell_length_a 3.5777
_cell_length_b 3.5777
_cell_length_c 7.4012
_cell_angle_alpha 90.00
_cell_angle_beta 90.00
_cell_angle_gamma 90.00
_space_group_name_H-M_alt 'P 4 m m'
_space_group_IT_number 99
loop_
_space_group_symop_operation_xyz
'x,y,z'
'-y,x,z'
'-x,-y,z'
'y,-x,z'
'-x,y,z'
'y,x,z'
'x,-y,z'
'-y,-x,z'
loop_
_atom_site_label
_atom_site_fract_x
_atom_site_fract_y
_atom_site_fract_z
_atom_site_occupancy
Cd1 0.0000 0.0000 0.0000 1
In1 0.0000 0.0000 0.5572 1
In2 0.5000 0.5000 0.2550 1
Se1 0.5000 0.5000 0.7795 1
# Excess energy over the best structure of this formula in the dataset: 0.000 eV per formula unit
# Formation energy from raw total energies: -0.113 eV/atom

***

2.
# Al2HgPt, optimized geometry, DFT PBEsol
data_Al2HgPt
_chemical_formula_sum 'Al2 Hg1 Pt1'
_cell_length_a 3.1786
_cell_length_b 4.6612
_cell_length_c 4.6310
_cell_angle_alpha 90.00
_cell_angle_beta 95.89
_cell_angle_gamma 90.00
_space_group_name_H-M_alt 'P 1 m 1'
_space_group_IT_number 6
loop_
_space_group_symop_operation_xyz
'x,y,z'
'x,-y,z'
loop_
_atom_site_label
_atom_site_fract_x
_atom_site_fract_y
_atom_site_fract_z
_atom_site_occupancy
Al1 0.0000 0.0000 0.0000 1
Al2 0.4853 0.5000 0.2103 1
Hg1 0.9730 0.5000 0.7161 1
Pt1 0.5807 0.0000 0.4212 1
# Final energy: -4.27 eV/atom

***

3.
# Cd5Au3, optimized geometry, DFT PBEsol
data_Cd5Au3
_chemical_formula_sum 'Cd20 Au12'
_cell_length_a 10.6680
_cell_length_b 10.6680
_cell_length_c 5.3697
_cell_angle_alpha 90.00
_cell_angle_beta 90.00
_cell_angle_gamma 90.00
_space_group_name_H-M_alt 'I 4/m c m'
_space_group_IT_number 140
_space_group_name_Hall '-I 4 2c'
loop_
_atom_site_label
_atom_site_fract_x
_atom_site_fract_y
_atom_site_fract_z
_atom_site_occupancy
Cd1 0.0000 0.5000 0.2500 1
Cd2 0.0781 0.2260 0.0000 1
Au1 0.0000 0.0000 0.2500 1
Au2 0.1665 0.3335 0.5000 1
# Excess energy over the best structure of this formula in the dataset: 0.000 eV per formula unit

***

4.
# Li3SmSb2, optimized geometry, DFT PBEsol
data_Li3SmSb2
_chemical_formula_sum 'Li3 Sm1 Sb2'
_cell_length_a 4.5241
_cell_length_b 4.5241
_cell_length_c 7.1453
_cell_angle_alpha 90.00
_cell_angle_beta 90.00
_cell_angle_gamma 120.00
_space_group_name_H-M_alt 'P -3 m 1'
_space_group_IT_number 164
_space_group_name_Hall '-P 3 2"'
loop_
_atom_site_label
_atom_site_fract_x
_atom_site_fract_y
_atom_site_fract_z
_atom_site_occupancy
Li1 0.0000 0.0000 0.0000 1
Li2 0.3333 0.6667 0.1503 1
Sm1 0.0000 0.0000 0.5000 1
Sb1 0.3333 0.6667 0.7521 1
# Formation energy from raw total energies: -0.856 eV/atom

***

5.
# YAg2P2, optimized geometry, DFT PBEsol
data_YAg2P2
_chemical_formula_sum 'Y2 Ag4 P4'
_cell_length_a 3.8909
_cell_length_b 3.8909
_cell_length_c 11.7501
_cell_angle_alpha 90.00
_cell_angle_beta 90.00
_cell_angle_gamma 90.00
_space_group_name_H-M_alt 'I 4/m m m'
_space_group_IT_number 139
_space_group_name_Hall '-I 4 2'
loop_
_atom_site_label
_atom_site_fract_x
_atom_site_fract_y
_atom_site_fract_z
_atom_site_occupancy
Y1 0.0000 0.0000 0.0000 1
Ag1 0.0000 0.5000 0.2500 1
P1 0.0000 0.0000 0.4005 1
# Final energy: -5.50 eV/atom

***

6.
# RbHfMgSi2, optimized geometry, DFT PBEsol
data_RbHfMgSi2
_chemical_formula_sum 'Rb1 Hf1 Mg1 Si2'
_cell_length_a 5.0968
_cell_length_b 5.0968
_cell_length_c 4.8624
_cell_angle_alpha 90.00
_cell_angle_beta 90.00
_cell_angle_gamma 90.00
_space_group_name_H-M_alt 'P 4/m m m'
_space_group_IT_number 123
_space_group_name_Hall '-P 4 2'
loop_
_atom_site_label
_atom_site_fract_x
_atom_site_fract_y
_atom_site_fract_z
_atom_site_occupancy
Rb1 0.0000 0.0000 0.0000 1
Hf1 0.5000 0.5000 0.5000 1
Mg1 0.0000 0.0000 0.5000 1
Si1 0.0000 0.5000 0.0000 1
# Formation energy from raw total energies: 1.988 eV/atom

***

7.
# CrHg2PtW, optimized geometry, DFT PBEsol
data_CrHg2PtW
_chemical_formula_sum 'Cr1 Hg2 Pt1 W1'
_cell_length_a 4.8670
_cell_length_b 4.8670
_cell_length_c 4.4881
_cell_angle_alpha 90.00
_cell_angle_beta 90.00
_cell_angle_gamma 90.00
_space_group_name_H-M_alt 'P 4/m m m'
_space_group_IT_number 123
_space_group_name_Hall '-P 4 2'
loop_
_atom_site_label
_atom_site_fract_x
_atom_site_fract_y
_atom_site_fract_z
_atom_site_occupancy
Cr1 0.0000 0.0000 0.0000 1
Hg1 0.0000 0.5000 0.0000 1
Pt1 0.0000 0.0000 0.5000 1
W1 0.5000 0.5000 0.5000 1
# Final energy: -4.62 eV/atom

***

8.
# FeSeBr2, optimized geometry, DFT PBEsol
data_FeSeBr2
_chemical_formula_sum 'Fe2 Se2 Br4'
_cell_length_a 3.1679
_cell_length_b 4.3748
_cell_length_c 13.2966
_cell_angle_alpha 90.00
_cell_angle_beta 90.00
_cell_angle_gamma 90.00
_space_group_name_H-M_alt 'I m m m'
_space_group_IT_number 71
_space_group_name_Hall '-I 2 2'
loop_
_atom_site_label
_atom_site_fract_x
_atom_site_fract_y
_atom_site_fract_z
_atom_site_occupancy
Fe1 0.0000 0.0000 0.0000 1
Se1 0.0000 0.0000 0.5000 1
Br1 0.0000 0.5000 0.3483 1
# Excess energy over the best structure of this formula in the dataset: 1.201 eV per formula unit
# Formation energy from raw total energies: 0.170 eV/atom